w.
{"formula": "Al2Ga2Ag7", "functional": "PBE", "state": "relaxed", "dos_ef_per_ev_fu": 2.7, "m_tot_mub_per_fu": 0.0, "lattice": [[6.984, 0.970, 1.400], [0.264, 5.293, 0.926], [0.264, -0.992, 5.281]], "species": ["Ga", "Ga", "Ag", "Ag", "Ag", "Ag", "Ag", "Ag", "Ag", "Al", "Al"], "fractional_positions": [[0.500, 0.197, 0.803], [0.500, 0.803, 0.197], [0.000, 0.000, 0.000], [0.827, 0.510, 0.902], [0.173, 0.490, 0.098], [0.827, 0.902, 0.510], [0.173, 0.098, 0.490], [0.525, 0.293, 0.293], [0.475, 0.707, 0.707], [0.156, 0.603, 0.603], [0.844, 0.397, 0.397]]}

x.
{"formula": "Al2Ga2Ag7", "functional": "PBE", "state": "relaxed", "dos_ef_per_ev_fu": 2.8, "m_tot_mub_per_fu": 0.0, "lattice": [[4.330, 0.000, 0.929], [1.382, 6.207, 4.116], [0.648, 0.345, 7.539]], "species": ["Ag", "Ag", "Ag", "Ag", "Ag", "Ag", "Ag", "Ga", "Ga", "Al", "Al"], "fractional_positions": [[0.500, 0.931, 0.069], [0.849, 0.053, 0.249], [0.863, 0.471, 0.802], [0.137, 0.198, 0.529], [0.344, 0.776, 0.536], [0.656, 0.464, 0.224], [0.151, 0.751, 0.947], [0.692, 0.926, 0.690], [0.308, 0.310, 0.074], [0.500, 0.337, 0.663], [0.000, 0.636, 0.364]]}

Order of stability, best first: x, w